Entry 1:
A geometry-optimized Ba3NaGd3Si6O20 structure, computed with PBE-GGA.

Output
Volume = 964.8 Å³ per cell
Uncorrected energy = -7.70 eV/atom

POSCAR file:
```
Ba3NaGd3Si6O20
1.0
14.725 0.000 0.000
0.000 11.872 2.759
0.000 -11.872 2.759
Ba Na Gd Si O
6 2 6 12 40
Direct
0.114 0.243 0.757
0.250 0.081 0.922
0.386 0.243 0.757
0.614 0.757 0.243
0.750 0.922 0.081
0.886 0.757 0.243
0.250 0.322 0.545
0.750 0.545 0.322
0.000 0.080 0.080
0.030 0.688 0.468
0.470 0.688 0.468
0.500 0.080 0.080
0.530 0.468 0.688
0.970 0.468 0.688
0.057 0.888 0.189
0.139 0.514 0.514
0.250 0.711 0.353
0.250 0.792 0.170
0.361 0.514 0.514
0.443 0.888 0.189
0.557 0.189 0.888
0.639 0.514 0.514
0.750 0.170 0.792
0.750 0.353 0.711
0.861 0.514 0.514
0.943 0.189 0.888
0.001 0.444 0.100
0.032 0.613 0.991
0.035 0.857 0.032
0.086 0.367 0.479
0.107 0.799 0.748
0.115 0.361 0.263
0.162 0.826 0.520
0.165 0.961 0.274
0.250 0.416 0.063
0.250 0.504 0.881
0.250 0.505 0.532
0.250 0.859 0.363
0.335 0.961 0.274
0.338 0.826 0.520
0.385 0.361 0.263
0.393 0.799 0.748
0.414 0.367 0.479
0.465 0.857 0.032
0.468 0.613 0.991
0.499 0.444 0.100
0.501 0.100 0.444
0.532 0.991 0.613
0.535 0.032 0.857
0.586 0.479 0.367
0.607 0.748 0.799
0.615 0.263 0.361
0.662 0.520 0.826
0.665 0.274 0.961
0.750 0.063 0.416
0.750 0.363 0.859
0.750 0.532 0.505
0.750 0.881 0.504
0.835 0.274 0.961
0.838 0.520 0.826
0.885 0.263 0.361
0.893 0.748 0.799
0.914 0.479 0.367
0.965 0.032 0.857
0.968 0.991 0.613
0.999 0.100 0.444
```

Entry 2:
A geometry-optimized NpReB structure, computed with PBE-GGA.

Output
Volume = 184.2 Å³ per cell
Uncorrected energy = -10.22 eV/atom
Excess energy over the best structure of this formula in the dataset = 0 meV per atom

POSCAR file:
```
NpReB
1.0
5.690 0.000 0.000
0.000 5.690 0.000
0.000 0.000 5.690
Np Re B
4 4 4
Direct
0.000 0.000 0.000
0.000 0.500 0.500
0.500 0.000 0.500
0.500 0.500 0.000
0.000 0.000 0.500
0.000 0.500 0.000
0.500 0.000 0.000
0.500 0.500 0.500
0.250 0.250 0.250
0.250 0.750 0.750
0.750 0.250 0.750
0.750 0.750 0.250
```

Entry 3:
A geometry-optimized TbB2 structure, computed with PBE-GGA.

Output
Volume = 71.1 Å³ per cell
Uncorrected energy = -5.48 eV/atom
Excess energy over the best structure of this formula in the dataset = 1040 meV per atom

POSCAR file:
```
TbB2
1.0
0.000 3.288 3.288
3.288 0.000 3.288
3.288 3.288 0.000
Tb B
2 4
Direct
0.125 0.125 0.125
0.875 0.875 0.875
0.000 0.500 0.500
0.500 0.000 0.500
0.500 0.500 0.000
0.500 0.500 0.500
```

Entry 4:
A geometry-optimized NaTmAu structure, computed with PBE-GGA.

Output
Volume = 321.8 Å³ per cell
Uncorrected energy = -3.32 eV/atom
Excess energy over the best structure of this formula in the dataset = 0 meV per atom

POSCAR file:
```
NaTmAu
1.0
6.853 0.000 0.000
0.000 6.853 0.000
0.000 0.000 6.853
Na Tm Au
4 4 4
Direct
0.000 0.000 0.000
0.000 0.500 0.500
0.500 0.000 0.500
0.500 0.500 0.000
0.000 0.000 0.500
0.000 0.500 0.000
0.500 0.000 0.000
0.500 0.500 0.500
0.250 0.250 0.250
0.250 0.750 0.750
0.750 0.250 0.750
0.750 0.750 0.250
```

Entry 5:
A geometry-optimized CsTbPt structure, computed with PBE-GGA.

Output
Volume = 392.3 Å³ per cell
Uncorrected energy = -3.74 eV/atom
Excess energy over the best structure of this formula in the dataset = 0 meV per atom

POSCAR file:
```
CsTbPt
1.0
7.320 0.000 0.000
0.000 7.320 0.000
0.000 0.000 7.320
Cs Tb Pt
4 4 4
Direct
0.000 0.000 0.000
0.000 0.500 0.500
0.500 0.000 0.500
0.500 0.500 0.000
0.000 0.000 0.500
0.000 0.500 0.000
0.500 0.000 0.000
0.500 0.500 0.500
0.250 0.250 0.250
0.250 0.750 0.750
0.750 0.250 0.750
0.750 0.750 0.250
```

Entry 6:
A geometry-optimized ScAlGePt structure, computed with PBE-GGA.

Output
Volume = 276.3 Å³ per cell
Uncorrected energy = -6.05 eV/atom
Excess energy over the best structure of this formula in the dataset = 2 meV per atom

POSCAR file:
```
ScAlGePt
1.0
6.652 0.000 0.000
0.000 4.218 0.000
0.000 0.000 9.847
Sc Al Ge Pt
4 4 4 4
Direct
0.000 0.000 0.000
0.000 0.500 0.500
0.500 0.000 0.154
0.500 0.500 0.654
0.301 0.000 0.442
0.301 0.500 0.942
0.699 0.000 0.442
0.699 0.500 0.942
0.208 0.000 0.699
0.208 0.500 0.199
0.792 0.000 0.699
0.792 0.500 0.199
0.000 0.000 0.289
0.000 0.500 0.789
0.500 0.000 0.876
0.500 0.500 0.376
```

Entry 7:
A geometry-optimized Hf3Cu2Ge2 structure, computed with PBE-GGA.

Output
Volume = 131.5 Å³ per cell
Uncorrected energy = -6.80 eV/atom

POSCAR file:
```
Hf3Cu2Ge2
1.0
2.248 1.298 7.512
-2.248 1.298 7.512
0.000 -2.596 7.512
Hf Cu Ge
3 2 2
Direct
0.000 0.000 0.000
0.244 0.244 0.244
0.754 0.754 0.754
0.381 0.381 0.381
0.871 0.871 0.871
0.126 0.126 0.126
0.622 0.622 0.622
```

Entry 8:
A geometry-optimized TmHf3C structure, computed with PBE-GGA.

Output
Volume = 99.5 Å³ per cell
Uncorrected energy = -8.88 eV/atom

POSCAR file:
```
TmHf3C
1.0
4.635 0.000 0.000
0.000 4.635 0.000
0.000 0.000 4.635
Tm Hf C
1 3 1
Direct
0.000 0.000 0.000
0.000 0.500 0.500
0.500 0.000 0.500
0.500 0.500 0.000
0.500 0.500 0.500
```

Entry 9:
A geometry-optimized Tm2TlGa3 structure, computed with PBE-GGA.

Output
Volume = 262.6 Å³ per cell
Uncorrected energy = -3.81 eV/atom

POSCAR file:
```
Tm2TlGa3
1.0
4.398 0.000 0.000
0.000 13.879 0.000
0.000 0.000 4.302
Tm Tl Ga
4 2 6
Direct
0.000 0.156 0.000
0.000 0.844 0.000
0.500 0.344 0.000
0.500 0.656 0.000
0.000 0.500 0.000
0.500 0.000 0.000
0.000 0.000 0.500
0.000 0.316 0.500
0.000 0.684 0.500
0.500 0.184 0.500
0.500 0.500 0.500
0.500 0.816 0.500
```

Entry 10:
A geometry-optimized ZnGe2Ir structure, computed with PBE-GGA.

Output
Volume = 253.1 Å³ per cell
Uncorrected energy = -4.64 eV/atom

POSCAR file:
```
ZnGe2Ir
1.0
6.325 0.000 0.000
0.000 6.325 0.000
0.000 0.000 6.325
Zn Ge Ir
4 8 4
Direct
0.000 0.000 0.000
0.000 0.500 0.500
0.500 0.000 0.500
0.500 0.500 0.000
0.000 0.000 0.500
0.000 0.500 0.000
0.250 0.250 0.250
0.250 0.750 0.750
0.500 0.000 0.000
0.500 0.500 0.500
0.750 0.250 0.750
0.750 0.750 0.250
0.250 0.250 0.750
0.250 0.750 0.250
0.750 0.250 0.250
0.750 0.750 0.750
```

Entry 11:
A geometry-optimized YU structure, computed with PBE-GGA.

Output
Volume = 227.5 Å³ per cell
ΔH_f (0 K) = 5.04 eV/f.u.
Uncorrected energy = -6.36 eV/atom
Excess energy over the best structure of this formula in the dataset = 2023 meV per atom

POSCAR file:
```
YU
1.0
6.104 0.000 0.000
0.000 6.104 0.000
0.000 0.000 6.104
Y U
4 4
Direct
0.000 0.000 0.000
0.000 0.500 0.500
0.500 0.000 0.500
0.500 0.500 0.000
0.250 0.250 0.250
0.250 0.750 0.750
0.750 0.250 0.750
0.750 0.750 0.250
```

Entry 12:
A geometry-optimized ErLuU structure, computed with PBE-GGA.

Output
Volume = 397.8 Å³ per cell
ΔH_f (0 K) = 3.83 eV/f.u.
Uncorrected energy = -5.52 eV/atom
Excess energy over the best structure of this formula in the dataset = 0 meV per atom

POSCAR file:
```
ErLuU
1.0
7.354 0.000 0.000
0.000 7.354 0.000
0.000 0.000 7.354
Er Lu U
4 4 4
Direct
0.000 0.000 0.000
0.000 0.500 0.500
0.500 0.000 0.500
0.500 0.500 0.000
0.250 0.250 0.750
0.250 0.750 0.250
0.750 0.250 0.250
0.750 0.750 0.750
0.250 0.250 0.250
0.250 0.750 0.750
0.750 0.250 0.750
0.750 0.750 0.250
```